An optimized crystal structure of GaAg2SbS4. Source: the Alexandria database, functional GGA-PBE.

Calculated values
Electronic total energy = -3.969 eV per atom
ρ = 4.66 g cm⁻³

Cell lengths 6.3009, 6.6813, 9.0563 Å; angles 90.00, 90.00, 90.00 degrees
Element x y z (fractional)
Ga: 0.4937 0.8479 0.5000
Ga: 0.9937 0.1521 0.0000
Ag: 0.4982 0.3142 0.2460
Ag: 0.4982 0.3142 0.7540
Ag: 0.9982 0.6858 0.7460
Ag: 0.9982 0.6858 0.2540
Sb: 0.9688 0.2165 0.5000
Sb: 0.4688 0.7835 0.0000
S: 0.3689 0.1473 0.0000
S: 0.8689 0.8527 0.5000
S: 0.3703 0.1757 0.5000
S: 0.8703 0.8243 0.0000
S: 0.4009 0.6919 0.7135
S: 0.9009 0.3081 0.2135
S: 0.9009 0.3081 0.7865
S: 0.4009 0.6919 0.2865